BaSi2As, PBEsol geometry, DFT SCAN; energy relative to the elements, uncorrected = -4 kJ/mol of formula units; space group = No. 99; DFT total energy = -79.813 eV for the cell shown
1.0
-1.917 3.106 0.349
-2.947 -1.660 -1.413
-1.875 -1.839 6.070
As Si Ba
1 2 1
Direct
0.000 0.000 0.428 As
0.000 0.000 0.077 Si
0.500 0.500 0.242 Si
0.500 0.500 0.753 Ba

CdMoO2F, PBEsol geometry, DFT SCAN; energy relative to the elements, uncorrected = -95 kJ/mol of formula units; space group = No. 123; DFT total energy = -82.286 eV for the cell shown
1.0
4.161 0.000 0.000
0.000 4.161 0.000
0.000 0.000 4.110
O Cd F Mo
2 1 1 1
Direct
0.000 0.500 0.000 O
0.500 0.000 0.000 O
0.000 0.000 0.000 Cd
0.000 0.000 0.500 F
0.500 0.500 0.500 Mo

TcB3Os, PBEsol geometry, DFT SCAN; space group = No. 221; formation energy = 1748 meV/atom; DFT total energy = -120.490 eV for the cell shown
1.0
3.901 0.000 0.000
0.000 3.901 0.000
0.000 0.000 3.901
B Tc Os
3 1 1
Direct
0.000 0.500 0.000 B
0.000 0.000 0.500 B
0.500 0.000 0.000 B
0.000 0.000 0.000 Tc
0.500 0.500 0.500 Os

> Which of these has the lowest DFT total energy?

TcB3Os